*a*
Here is TaSi2W at its PBEsol-relaxed geometry from the Alexandria database. Energies are from meta-GGA SCAN.

The value obtained for the density of states at the Fermi level is 2.0 states/eV/f.u.

abc: 3.777 3.777 4.891
angles: 112.71 112.71 90.00
Sites, in units of the cell vectors:
Si 0.000 0.000 0.000
Si 0.750 0.250 0.500
Ta 0.500 0.500 0.000
W 0.250 0.750 0.500

*b*
Here is TaSi2W at its PBEsol-relaxed geometry from the Alexandria database. Energies are from meta-GGA SCAN.

The value obtained for the density of states at the Fermi level is 3.5 states/eV/f.u.

abc: 4.271 4.271 4.271
angles: 81.69 64.68 115.32
Sites, in units of the cell vectors:
Si 0.500 0.750 0.750
Si 0.500 0.250 0.250
Ta 0.000 0.500 0.500
W 0.000 0.000 0.000

Relative to the most stable structure, the computed energies are *a* 0.000; *b* 0.052, all in eV/atom.

*a*
Here is YTaSi2 at its PBEsol-relaxed geometry from the Alexandria database. Energies are from meta-GGA SCAN.

The value obtained for the density of states at the Fermi level is 1.8 states/eV/f.u.

abc: 3.919 4.892 4.892
angles: 59.05 66.38 66.38
Sites, in units of the cell vectors:
Si 0.240 0.760 0.760
Si 0.760 0.240 0.240
Ta 0.500 0.000 0.000
Y 0.000 0.500 0.500

*b*
Here is YTaSi2 at its PBEsol-relaxed geometry from the Alexandria database. Energies are from meta-GGA SCAN.

The value obtained for the density of states at the Fermi level is 3.3 states/eV/f.u.

abc: 3.279 3.279 6.817
angles: 90.00 90.00 90.00
Sites, in units of the cell vectors:
Si 0.000 0.000 0.059
Si 0.500 0.500 0.245
Ta 0.000 0.000 0.432
Y 0.500 0.500 0.765

Relative to the most stable structure, the computed energies are *a* 0.000; *b* 0.140, all in eV/atom.

*a*
Here is SiTc at its PBEsol-relaxed geometry from the Alexandria database. Energies are from meta-GGA SCAN.

The value obtained for the density of states at the Fermi level is 0.6 states/eV/f.u.

abc: 3.142 3.142 3.222
angles: 90.00 90.00 120.00
Sites, in units of the cell vectors:
Si 0.667 0.333 0.000
Tc 0.000 0.000 0.500

*b*
Here is SiTc at its PBEsol-relaxed geometry from the Alexandria database. Energies are from meta-GGA SCAN.

The value obtained for the density of states at the Fermi level is 1.7 states/eV/f.u.

abc: 3.731 3.731 4.751
angles: 90.00 90.00 120.00
Each line ends with the local moment (μB).
Sites, in units of the cell vectors:
Si 0.000 0.000 0.000  -0.03
Si 0.000 0.000 0.500  -0.03
Tc 0.667 0.333 0.750  0.81
Tc 0.333 0.667 0.250  0.81

*c*
Here is SiTc at its PBEsol-relaxed geometry from the Alexandria database. Energies are from meta-GGA SCAN.

The value obtained for the density of states at the Fermi level is 1.2 states/eV/f.u.

abc: 2.941 2.941 2.941
angles: 90.00 90.00 90.00
Sites, in units of the cell vectors:
Si 0.500 0.500 0.500
Tc 0.000 0.000 0.000

*d*
Here is SiTc at its PBEsol-relaxed geometry from the Alexandria database. Energies are from meta-GGA SCAN.

The value obtained for the density of states at the Fermi level is 1.0 states/eV/f.u.

abc: 3.087 3.087 5.476
angles: 90.00 90.00 90.00
Sites, in units of the cell vectors:
Si 0.500 0.000 0.871
Si 0.000 0.500 0.129
Tc 0.500 0.000 0.334
Tc 0.000 0.500 0.666

Relative to the most stable structure, the computed energies are *a* 0.000; *b* 0.442; *c* 0.030; *d* 0.012, all in eV/atom.

*a*
Here is SiTc at its PBEsol-relaxed geometry from the Alexandria database. Energies are from meta-GGA SCAN.

The value obtained for the density of states at the Fermi level is 1.3 states/eV/f.u.

abc: 3.053 3.977 4.592
angles: 90.00 109.41 90.00
Sites, in units of the cell vectors:
Si 0.411 0.750 0.821
Si 0.589 0.250 0.179
Tc 0.134 0.750 0.267
Tc 0.866 0.250 0.733

*b*
Here is SiTc at its PBEsol-relaxed geometry from the Alexandria database. Energies are from meta-GGA SCAN.

The value obtained for the density of states at the Fermi level is 1.7 states/eV/f.u.

abc: 2.844 2.844 7.967
angles: 79.72 79.72 60.00
Sites, in units of the cell vectors:
Si 0.124 0.124 0.628
Si 0.876 0.876 0.372
Tc 0.623 0.623 0.132
Tc 0.377 0.377 0.868

*c*
Here is SiTc at its PBEsol-relaxed geometry from the Alexandria database. Energies are from meta-GGA SCAN.

The value obtained for the density of states at the Fermi level is 1.3 states/eV/f.u.

abc: 4.726 4.726 4.726
angles: 90.00 90.00 90.00
Sites, in units of the cell vectors:
Si 0.655 0.155 0.345
Si 0.155 0.345 0.655
Si 0.345 0.655 0.155
Si 0.845 0.845 0.845
Tc 0.364 0.864 0.636
Tc 0.864 0.636 0.364
Tc 0.636 0.364 0.864
Tc 0.136 0.136 0.136

Relative to the most stable structure, the computed energies are *a* 0.031; *b* 0.474; *c* 0.000, all in eV/atom.